(1)
AlZnAs2 | meta-GGA SCAN | single point on PBEsol structure

Structure (CIF):
```
data_AlZnAs2
_cell_length_a 3.6903
_cell_length_b 3.6903
_cell_length_c 10.3452
_cell_angle_alpha 90.00
_cell_angle_beta 90.00
_cell_angle_gamma 90.00
_space_group_name_H-M_alt 'I -4 m 2'
_space_group_IT_number 119
_space_group_name_Hall 'I -4 -2'
loop_
_atom_site_label
_atom_site_type_symbol
_atom_site_fract_x
_atom_site_fract_y
_atom_site_fract_z
Al1 Al 0.0000 0.0000 0.0000
Zn1 Zn 0.0000 0.5000 0.7500
As1 As 0.0000 0.0000 0.5000
As2 As 0.0000 0.5000 0.2500
```

---

(2)
Zr2AlAs | meta-GGA SCAN | single point on PBEsol structure

## Properties
Distance to the lowest polymorph of the same formula ... 272 meV/atom

Structure (CIF):
```
data_Zr2AlAs
_cell_length_a 6.0231
_cell_length_b 7.6409
_cell_length_c 3.3010
_cell_angle_alpha 90.00
_cell_angle_beta 100.11
_cell_angle_gamma 90.00
_space_group_name_H-M_alt 'C 1 2/m 1'
_space_group_IT_number 12
loop_
_space_group_symop_operation_xyz
'x,y,z'
'-x,-y,-z'
'-x,y,-z'
'x,-y,z'
'x+1/2,y+1/2,z'
'-x+1/2,-y+1/2,-z'
'-x+1/2,y+1/2,-z'
'x+1/2,-y+1/2,z'
loop_
_atom_site_label
_atom_site_type_symbol
_atom_site_fract_x
_atom_site_fract_y
_atom_site_fract_z
Zr1 Zr 0.2500 0.2500 0.0000
Al1 Al 0.0000 0.0000 0.5000
As1 As 0.0000 0.5000 0.5000
```

---

(3)
ZrAl2As | meta-GGA SCAN | single point on PBEsol structure

Structure (CIF):
```
data_ZrAl2As
_cell_length_a 2.9445
_cell_length_b 2.9445
_cell_length_c 8.3722
_cell_angle_alpha 90.00
_cell_angle_beta 90.00
_cell_angle_gamma 90.00
_space_group_name_H-M_alt 'P 4 m m'
_space_group_IT_number 99
loop_
_space_group_symop_operation_xyz
'x,y,z'
'-y,x,z'
'-x,-y,z'
'y,-x,z'
'-x,y,z'
'y,x,z'
'x,-y,z'
'-y,-x,z'
loop_
_atom_site_label
_atom_site_type_symbol
_atom_site_fract_x
_atom_site_fract_y
_atom_site_fract_z
Zr1 Zr 0.0000 0.0000 0.0000
Al1 Al 0.0000 0.0000 0.4883
Al2 Al 0.5000 0.5000 0.2521
As1 As 0.5000 0.5000 0.7545
```

---

(4)
Zr2AlAs | meta-GGA SCAN | single point on PBEsol structure

## Properties
Distance to the lowest polymorph of the same formula ... 298 meV/atom

Structure (CIF):
```
data_Zr2AlAs
_cell_length_a 4.2944
_cell_length_b 4.2944
_cell_length_c 7.9895
_cell_angle_alpha 90.00
_cell_angle_beta 90.00
_cell_angle_gamma 90.00
_space_group_name_H-M_alt 'I 4/m m m'
_space_group_IT_number 139
_space_group_name_Hall '-I 4 2'
loop_
_atom_site_label
_atom_site_type_symbol
_atom_site_fract_x
_atom_site_fract_y
_atom_site_fract_z
Zr1 Zr 0.0000 0.5000 0.2500
Al1 Al 0.0000 0.0000 0.0000
As1 As 0.0000 0.0000 0.5000
```

---

Number 1: DFT formation energy 205 meV per atom, density 5.71 g/cm3, spin magnetization 0.0 μB per formula unit. Number 2: DFT formation energy -611 meV per atom, density 6.31 g/cm3, spin magnetization 0.0 μB per formula unit. Number 3: DFT formation energy -184 meV per atom, density 5.04 g/cm3, spin magnetization 0.0 μB per formula unit. Number 4: DFT formation energy -585 meV per atom, density 6.41 g/cm3, spin magnetization 0.0 μB per formula unit.